[1]
VASP calculation (PBE) on crystalline Ac2TbThSb4 at its relaxed geometry.

Cell: 7.9749 4.6182 8.0453 Å, 90.00 109.36 90.00°
Closest atoms and distances in Å follow each position.
Space group P2/m (No. 10)
One atom of each set of equivalent atoms:
Ac 0.0000 0.0000 0.0000  6 Sb 3.35
Ac 0.5000 0.5000 0.0000  6 Sb 3.37
Tb 0.0000 0.5000 0.5000  6 Sb 3.17
Th 0.5000 0.0000 0.5000  6 Sb 3.19-3.20
Sb 0.2409 0.0000 0.7291  2 Tb 3.17, 1 Th 3.19, 3 Ac 3.35-3.37
Sb 0.2537 0.5000 0.2691  1 Tb 3.17, 2 Th 3.20, 3 Ac 3.35-3.37

## Properties
- raw formation energy (eV per atom) = -1.125
- total moment (μB per cell) = 0.00
- mass density (Mg/m³) = 7.91
- D(E_F) (states/eV/atom) = 0.225
- E_tot (Ry per atom) = -0.420



[2]
VASP calculation (PBE) on crystalline TaV3Bi at its relaxed geometry.

Cell: 4.7003 4.7003 4.7003 Å, 90.00 90.00 90.00°
Closest atoms and distances in Å follow each position.
Space group Pm-3m (No. 221)
One atom of each set of equivalent atoms:
Ta 0.0000 0.0000 0.0000  6 V 2.35
V 0.0000 0.0000 0.5000  2 Ta 2.35
Bi 0.5000 0.5000 0.5000  12 V 3.32

## Properties
- E_form (kJ per mole of atoms) = 124
- energy relative to the lowest polymorph listed for this composition (eV per atom) = 0.000
- total moment (μB per cell) = 0.00
- mass density (Mg/m³) = 8.68
- D(E_F) (states/eV/atom) = 1.041
- E_tot (Ry per atom) = -0.539



[3]
VASP calculation (PBE) on crystalline Nb3PPt at its relaxed geometry.

Cell: 4.8920 4.8920 4.8920 Å, 90.00 90.00 90.00°
Closest atoms and distances in Å follow each position.
Space group Pm-3m (No. 221)
One atom of each set of equivalent atoms:
Nb 0.0000 0.0000 0.5000  2 Pt 2.45
P 0.5000 0.5000 0.5000  12 Nb 3.46
Pt 0.0000 0.0000 0.0000  6 Nb 2.45

## Properties
- E_form (kJ per mole of atoms) = 115
- energy relative to the lowest polymorph listed for this composition (eV per atom) = 1.063
- total moment (μB per cell) = 0.00
- mass density (Mg/m³) = 7.16
- D(E_F) (states/eV/atom) = 1.373
- E_tot (Ry per atom) = -0.525



[4]
VASP calculation (PBE) on crystalline CaVSiI2 at its relaxed geometry.

Cell: 5.8327 5.8327 6.4176 Å, 90.00 90.00 90.00°
Closest atoms and distances in Å follow each position.
Space group P4/mmm (No. 123)
One atom of each set of equivalent atoms:
Ca 0.0000 0.0000 0.0000  4 I 2.92, 2 V 3.21
V 0.0000 0.0000 0.5000  2 Ca 3.21
Si 0.5000 0.5000 0.5000  4 V 4.12, 8 I 4.34
I 0.0000 0.5000 0.0000  2 Ca 2.92

## Properties
- raw formation energy (eV per atom) = 0.888
- total moment (μB per cell) = 5.65
- mass density (Mg/m³) = 2.84
- D(E_F) (states/eV/atom) = 1.163
- E_tot (Ry per atom) = -0.223



[5]
VASP calculation (PBE) on crystalline Hg2OF at its relaxed geometry.

Cell: 5.3567 5.3567 11.6791 Å, 90.00 90.00 90.00°
Closest atoms and distances in Å follow each position.
Space group I-42d (No. 122)
One atom of each set of equivalent atoms:
Hg 0.2033 0.2500 0.1250  2 O 2.26
O 0.0000 0.0000 0.0000  4 Hg 2.26
F 0.0000 0.0000 0.5000  4 Hg 2.54

## Properties
- raw formation energy (eV per atom) = -0.588
- total moment (μB per cell) = 0.00
- mass density (Mg/m³) = 8.65
- D(E_F) (states/eV/atom) = 0.086
- E_tot (Ry per atom) = -0.180



[6]
VASP calculation (PBE) on crystalline Sm2DyHoTm4 at its relaxed geometry.

Cell: 6.7582 11.6905 13.2212 Å, 90.00 90.00 90.00°
Closest atoms and distances in Å follow each position.
Space group Imma (No. 74)
One atom of each set of equivalent atoms:
Sm 0.0000 0.0000 0.0000  6 Tm 3.33-3.38, 2 Ho 3.38
Sm 0.2500 0.2500 0.2500  6 Tm 3.33-3.40, 2 Sm 3.38
Dy 0.2500 0.2500 0.7500  6 Tm 3.28-3.36, 2 Dy 3.38
Ho 0.0000 0.0000 0.5000  6 Tm 3.28-3.37, 2 Sm 3.38
Tm 0.0000 0.0019 0.7484  1 Ho 3.28, 3 Sm 3.33-3.40, 2 Dy 3.36, 2 Tm 3.38
Tm 0.2491 0.2500 0.5016  1 Dy 3.28, 3 Sm 3.33-3.38, 2 Tm 3.37-3.39, 2 Ho 3.37

## Properties
- E_form (kJ per mole of atoms) = 43
- total moment (μB per cell) = 12.36
- mass density (Mg/m³) = 8.29
- D(E_F) (states/eV/atom) = 2.140
- E_tot (Ry per atom) = -0.303



[7]
VASP calculation (PBE) on crystalline LiIn6Pd5 at its relaxed geometry.

Cell: 4.6598 14.0326 6.6331 Å, 90.00 90.40 90.00°
Closest atoms and distances in Å follow each position.
Space group C2/m (No. 12)
One atom of each set of equivalent atoms:
Li 0.0000 0.0000 0.0000  8 In 2.87-2.90
In 0.0000 0.1684 0.2497  7 Pd 2.84-2.94, 1 Li 2.89
In 0.0005 0.5000 0.7433  6 Pd 2.80-2.86, 2 Li 2.87-2.90
Pd 0.0000 0.0000 0.5000  8 In 2.83-2.89
Pd 0.0000 0.3322 0.5000  8 In 2.84-2.87
Pd 0.0000 0.3414 0.0000  8 In 2.80-2.94

## Properties
- E_form (kJ per mole of atoms) = -46
- total moment (μB per cell) = 0.00
- mass density (Mg/m³) = 9.40
- D(E_F) (states/eV/atom) = 0.365
- E_tot (Ry per atom) = -0.306



[8]
VASP calculation (PBE) on crystalline Pr2InGe4Pt3 at its relaxed geometry.

Cell: 4.3600 4.3600 10.7205 Å, 90.00 90.00 90.00°
Closest atoms and distances in Å follow each position.
Space group P-4m2 (No. 115)
One atom of each set of equivalent atoms:
Pr 0.0000 0.5000 0.2399  8 Ge 3.30-3.37, 6 Pt 3.34-3.54, 2 In 3.54
In 0.0000 0.0000 0.5000  4 Ge 2.71
Ge 0.0000 0.0000 0.0000  4 Pt 2.53
Ge 0.0000 0.5000 0.6505  3 Pt 2.46-2.71, 2 In 2.71
Ge 0.5000 0.5000 0.0000  4 Pt 2.53
Pt 0.0000 0.5000 0.8796  5 Ge 2.46-2.53
Pt 0.5000 0.5000 0.5000  4 Ge 2.71

## Properties
- E_form (kJ per mole of atoms) = -78
- total moment (μB per cell) = 0.00
- mass density (Mg/m³) = 10.37
- D(E_F) (states/eV/atom) = 0.252
- E_tot (Ry per atom) = -0.419



Here are the calculated V numbers, same order: 279.5 103.8 117.1 218.3 335.1 1044.6 433.7 203.8 (Å³ per cell).